[1]
The following is a SCAN calculation of a PBEsol-optimized structure of BaMoSe2, from Alexandria via LeMat-Bulk.

Lattice parameters (Å, degrees): 3.6118 3.6118 7.9765 90.00 90.00 90.00
Closest atoms and distances in Å follow each position.
Element x y z (fractional)
Ba (0.0000, 0.0000, 0.0000)  5 Se 3.09-3.12
Mo (0.5000, 0.5000, 0.4760)  5 Se 2.43-2.64
Se (0.0000, 0.0000, 0.3909)  4 Mo 2.64
Se (0.5000, 0.5000, 0.7811)  1 Mo 2.43

Output
Raw formation energy in eV/atom: -0.486
Volume in Å³ per cell: 104.1
Density of states at the Fermi level in states/eV/cell: 1.59
Polymorph energy (0 for the lowest one) in eV/atom: 0.000
Size of the total moment in μB/atom: 0.917

***

[2]
The following is a SCAN calculation of a PBEsol-optimized structure of Rb3BaSb, from Alexandria via LeMat-Bulk.

Lattice parameters (Å, degrees): 6.5775 6.5775 6.5775 90.00 90.00 90.00
Closest atoms and distances in Å follow each position.
Element x y z (fractional)
Rb (0.0000, 0.0000, 0.5000)  2 Ba 3.29
Rb (0.0000, 0.5000, 0.0000)  2 Ba 3.29
Rb (0.5000, 0.0000, 0.0000)  2 Ba 3.29
Ba (0.0000, 0.0000, 0.0000)  6 Rb 3.29
Sb (0.5000, 0.5000, 0.5000)  12 Rb 4.65

Output
Raw formation energy in eV/atom: 0.704
Volume in Å³ per cell: 284.6
Density of states at the Fermi level in states/eV/cell: 3.66
Polymorph energy (0 for the lowest one) in eV/atom: 0.713
Size of the total moment in μB/atom: 0.395

***

[3]
The following is a SCAN calculation of a PBEsol-optimized structure of TaTlCr3, from Alexandria via LeMat-Bulk.

Lattice parameters (Å, degrees): 4.6848 4.6848 4.6848 90.00 90.00 90.00
Closest atoms and distances in Å follow each position.
Element x y z (fractional)
Ta (0.0000, 0.0000, 0.0000)  6 Cr 2.34
Tl (0.5000, 0.5000, 0.5000)  12 Cr 3.31
Cr (0.0000, 0.0000, 0.5000)  2 Ta 2.34
Cr (0.0000, 0.5000, 0.0000)  2 Ta 2.34
Cr (0.5000, 0.0000, 0.0000)  2 Ta 2.34

Output
Volume in Å³ per cell: 102.8
Density of states at the Fermi level in states/eV/cell: 4.21
Size of the total moment in μB/atom: 1.846
ΔH_f (0 K) in eV/atom: 1.359

***

Q: size of the total moment of number 1 (BaMoSe2)?
A: 0.917 μB/atom